(P)
Below is a relaxed TmCd3Au3 crystal, with properties calculated at the PBE level.

abc: 7.517 7.517 7.517
angles: 90.00 90.00 90.00
Fractional coordinates of all 14 atoms:
1 Au 0.500 0.000 0.250
2 Tm 0.000 0.000 0.000
3 Au 0.000 0.750 0.500
4 Cd 0.000 0.500 0.250
5 Tm 0.500 0.500 0.500
6 Cd 0.500 0.250 0.000
7 Au 0.500 0.000 0.750
8 Au 0.250 0.500 0.000
9 Cd 0.250 0.000 0.500
10 Cd 0.750 0.000 0.500
11 Au 0.750 0.500 0.000
12 Au 0.000 0.250 0.500
13 Cd 0.500 0.750 0.000
14 Cd 0.000 0.500 0.750

Summary:
As for the volume: 424.7 Å³/cell. Its density of states at the Fermi level is 9.2 states/eV per cell. The calculation puts the size of the total moment at 0.0 Bohr magnetons per cell.


(Q)
Below is a relaxed TmCd3Au3 crystal, with properties calculated at the PBE level.

abc: 8.433 8.433 8.433
angles: 90.00 90.00 90.00
Fractional coordinates of all 28 atoms:
1 Au 0.261 0.142 0.440
2 Tm 0.553 0.947 0.053
3 Cd 0.622 0.378 0.878
4 Au 0.761 0.358 0.560
5 Au 0.358 0.560 0.761
6 Tm 0.053 0.553 0.947
7 Cd 0.122 0.122 0.122
8 Tm 0.447 0.447 0.447
9 Cd 0.310 0.190 0.810
10 Cd 0.599 0.099 0.401
11 Tm 0.947 0.053 0.553
12 Au 0.560 0.761 0.358
13 Cd 0.810 0.310 0.190
14 Cd 0.878 0.622 0.378
15 Au 0.060 0.739 0.642
16 Au 0.239 0.858 0.940
17 Cd 0.378 0.878 0.622
18 Au 0.739 0.642 0.060
19 Au 0.858 0.940 0.239
20 Au 0.642 0.060 0.739
21 Cd 0.401 0.599 0.099
22 Au 0.940 0.239 0.858
23 Au 0.440 0.261 0.142
24 Cd 0.690 0.690 0.690
25 Au 0.142 0.440 0.261
26 Cd 0.901 0.901 0.901
27 Cd 0.099 0.401 0.599
28 Cd 0.190 0.810 0.310

Summary:
As for the volume: 599.8 Å³/cell. Its density of states at the Fermi level is 9.4 states/eV per cell. The calculation puts the size of the total moment at 0.0 Bohr magnetons per cell.


Q: Which of them is the least stable? A: (P).


(P)
Below is a relaxed TmCdAu4 crystal, with properties calculated at the PBE level.

abc: 5.566 5.566 5.566
angles: 60.00 60.00 60.00
Fractional coordinates of all 6 atoms:
1 Au 0.625 0.125 0.625
2 Tm 0.000 0.000 0.000
3 Au 0.125 0.625 0.625
4 Au 0.625 0.625 0.125
5 Cd 0.250 0.250 0.250
6 Au 0.625 0.625 0.625

Summary:
As for the volume: 121.9 Å³/cell. Its density of states at the Fermi level is 5.9 states/eV per cell. The calculation puts the size of the total moment at 0.0 Bohr magnetons per cell.


(Q)
Below is a relaxed TmCdAu4 crystal, with properties calculated at the PBE level.

abc: 3.877 5.141 7.170
angles: 78.65 74.32 112.23
Fractional coordinates of all 6 atoms:
1 Tm 0.501 0.497 0.998
2 Au 0.168 0.499 0.666
3 Cd 0.001 0.997 0.498
4 Au 0.834 0.496 0.330
5 Au 0.334 0.995 0.831
6 Au 0.669 0.000 0.166

Summary:
As for the volume: 120.0 Å³/cell. Its density of states at the Fermi level is 2.6 states/eV per cell. The calculation puts the size of the total moment at 0.0 Bohr magnetons per cell.


Q: Which of them is the least stable? A: (P).


(P)
Below is a relaxed YTmCdAu crystal, with properties calculated at the PBE level.

abc: 3.664 3.664 7.233
angles: 90.00 90.00 90.00
Fractional coordinates of all 4 atoms:
1 Au 0.000 0.000 0.345
2 Y 0.500 0.500 0.596
3 Cd 0.000 0.000 0.865
4 Tm 0.500 0.500 0.122

Summary:
As for the volume: 97.1 Å³/cell. Its density of states at the Fermi level is 2.9 states/eV per cell. The calculation puts the size of the total moment at 0.0 Bohr magnetons per cell.


(Q)
Below is a relaxed YTmCdAu crystal, with properties calculated at the PBE level.

abc: 5.157 5.157 5.157
angles: 60.00 60.00 60.00
Fractional coordinates of all 4 atoms:
1 Tm 0.250 0.250 0.250
2 Cd 0.000 0.000 0.000
3 Y 0.750 0.750 0.750
4 Au 0.500 0.500 0.500

Summary:
As for the volume: 97.0 Å³/cell. Its density of states at the Fermi level is 4.2 states/eV per cell. The calculation puts the size of the total moment at 0.0 Bohr magnetons per cell.


Q: Which of them is the least stable? A: (Q).